(1)
# Pr4SiAg2

A relaxed structure of Pr4SiAg2 (PBE-GGA, Alexandria).

Cell and atoms, written as CIF:
```
data_Pr4SiAg2
_chemical_formula_sum 'Pr4 Si1 Ag2'
_cell_length_a 9.032
_cell_length_b 9.032
_cell_length_c 9.032
_cell_angle_alpha 33.96
_cell_angle_beta 33.96
_cell_angle_gamma 33.96
_symmetry_space_group_name_H-M 'P 1'
_symmetry_Int_Tables_number 1
_symmetry_space_group_name_Hall 'P 1'
loop_
_atom_site_label
_atom_site_type_symbol
_atom_site_fract_x
_atom_site_fract_y
_atom_site_fract_z
_atom_site_occupancy
Pr1 Pr 0.122 0.122 0.122 1
Pr2 Pr 0.374 0.374 0.374 1
Pr3 Pr 0.626 0.626 0.626 1
Pr4 Pr 0.878 0.878 0.878 1
Si1 Si 0.000 0.000 0.000 1
Ag1 Ag 0.247 0.247 0.247 1
Ag2 Ag 0.753 0.753 0.753 1
```

Values from the calculation:
Space-group type   R-3m (166)
E_form (uncorrected)   -0.196 eV/atom
Total moment   0.231 μB per atom

***

(2)
# Pr4SiAg

A relaxed structure of Pr4SiAg (PBE-GGA, Alexandria).

Cell and atoms, written as CIF:
```
data_Pr4SiAg
_chemical_formula_sum 'Pr8 Si2 Ag2'
_cell_length_a 11.181
_cell_length_b 11.181
_cell_length_c 6.429
_cell_angle_alpha 90.00
_cell_angle_beta 90.00
_cell_angle_gamma 151.53
_symmetry_space_group_name_H-M 'P 1'
_symmetry_Int_Tables_number 1
_symmetry_space_group_name_Hall 'P 1'
loop_
_atom_site_label
_atom_site_type_symbol
_atom_site_fract_x
_atom_site_fract_y
_atom_site_fract_z
_atom_site_occupancy
Pr1 Pr 0.063 0.937 0.500 1
Pr2 Pr 0.210 0.790 0.747 1
Pr3 Pr 0.214 0.786 0.265 1
Pr4 Pr 0.378 0.622 0.512 1
Pr5 Pr 0.622 0.378 0.012 1
Pr6 Pr 0.786 0.214 0.765 1
Pr7 Pr 0.790 0.210 0.247 1
Pr8 Pr 0.937 0.063 0.000 1
Si1 Si 0.340 0.660 0.004 1
Si2 Si 0.660 0.340 0.504 1
Ag1 Ag 0.077 0.923 0.001 1
Ag2 Ag 0.923 0.077 0.501 1
```

Values from the calculation:
Space-group type   Cmc2_1 (36)
E_form (uncorrected)   -0.077 eV/atom
Total moment   0.000 μB per atom

***

(3)
# Pr3Si3Ag2

A relaxed structure of Pr3Si3Ag2 (PBE-GGA, Alexandria).

Cell and atoms, written as CIF:
```
data_Pr3Si3Ag2
_chemical_formula_sum 'Pr6 Si6 Ag4'
_cell_length_a 6.060
_cell_length_b 6.060
_cell_length_c 14.678
_cell_angle_alpha 90.00
_cell_angle_beta 90.00
_cell_angle_gamma 137.44
_symmetry_space_group_name_H-M 'P 1'
_symmetry_Int_Tables_number 1
_symmetry_space_group_name_Hall 'P 1'
loop_
_atom_site_label
_atom_site_type_symbol
_atom_site_fract_x
_atom_site_fract_y
_atom_site_fract_z
_atom_site_occupancy
Pr1 Pr 0.078 0.922 0.617 1
Pr2 Pr 0.078 0.922 0.883 1
Pr3 Pr 0.362 0.638 0.750 1
Pr4 Pr 0.638 0.362 0.250 1
Pr5 Pr 0.922 0.078 0.117 1
Pr6 Pr 0.922 0.078 0.383 1
Si1 Si 0.333 0.667 0.250 1
Si2 Si 0.407 0.593 0.542 1
Si3 Si 0.407 0.593 0.958 1
Si4 Si 0.593 0.407 0.042 1
Si5 Si 0.593 0.407 0.458 1
Si6 Si 0.667 0.333 0.750 1
Ag1 Ag 0.215 0.785 0.081 1
Ag2 Ag 0.215 0.785 0.419 1
Ag3 Ag 0.785 0.215 0.581 1
Ag4 Ag 0.785 0.215 0.919 1
```

Values from the calculation:
Space-group type   Cmcm (63)
E_form (uncorrected)   -0.556 eV/atom
Total moment   0.111 μB per atom

***

(4)
# Pr4Si2Ag

A relaxed structure of Pr4Si2Ag (PBE-GGA, Alexandria).

Cell and atoms, written as CIF:
```
data_Pr4Si2Ag
_chemical_formula_sum 'Pr4 Si2 Ag1'
_cell_length_a 9.490
_cell_length_b 9.490
_cell_length_c 9.490
_cell_angle_alpha 31.11
_cell_angle_beta 31.11
_cell_angle_gamma 31.11
_symmetry_space_group_name_H-M 'P 1'
_symmetry_Int_Tables_number 1
_symmetry_space_group_name_Hall 'P 1'
loop_
_atom_site_label
_atom_site_type_symbol
_atom_site_fract_x
_atom_site_fract_y
_atom_site_fract_z
_atom_site_occupancy
Pr1 Pr 0.119 0.119 0.119 1
Pr2 Pr 0.294 0.294 0.294 1
Pr3 Pr 0.706 0.706 0.706 1
Pr4 Pr 0.881 0.881 0.881 1
Si1 Si 0.407 0.407 0.407 1
Si2 Si 0.593 0.593 0.593 1
Ag1 Ag 0.500 0.500 0.500 1
```

Values from the calculation:
Space-group type   R-3m (166)
E_form (uncorrected)   -0.337 eV/atom
Total moment   0.000 μB per atom

***

(5)
# PrSi2Ag4

A relaxed structure of PrSi2Ag4 (PBE-GGA, Alexandria).

Cell and atoms, written as CIF:
```
data_PrSi2Ag4
_chemical_formula_sum 'Pr1 Si2 Ag4'
_cell_length_a 7.645
_cell_length_b 7.645
_cell_length_c 4.271
_cell_angle_alpha 90.00
_cell_angle_beta 90.00
_cell_angle_gamma 147.52
_symmetry_space_group_name_H-M 'P 1'
_symmetry_Int_Tables_number 1
_symmetry_space_group_name_Hall 'P 1'
loop_
_atom_site_label
_atom_site_type_symbol
_atom_site_fract_x
_atom_site_fract_y
_atom_site_fract_z
_atom_site_occupancy
Pr1 Pr 0.000 0.000 0.000 1
Si1 Si 0.420 0.580 0.500 1
Si2 Si 0.580 0.420 0.500 1
Ag1 Ag 0.179 0.821 0.500 1
Ag2 Ag 0.320 0.680 0.000 1
Ag3 Ag 0.680 0.320 0.000 1
Ag4 Ag 0.821 0.179 0.500 1
```

Values from the calculation:
Space-group type   Cmmm (65)
E_form (uncorrected)   -0.273 eV/atom
Total moment   0.000 μB per atom

***

(6)
# PrSi2Ag2

A relaxed structure of PrSi2Ag2 (PBE-GGA, Alexandria).

Cell and atoms, written as CIF:
```
data_PrSi2Ag2
_chemical_formula_sum 'Pr1 Si2 Ag2'
_cell_length_a 6.162
_cell_length_b 6.162
_cell_length_c 6.162
_cell_angle_alpha 139.48
_cell_angle_beta 139.48
_cell_angle_gamma 58.64
_symmetry_space_group_name_H-M 'P 1'
_symmetry_Int_Tables_number 1
_symmetry_space_group_name_Hall 'P 1'
loop_
_atom_site_label
_atom_site_type_symbol
_atom_site_fract_x
_atom_site_fract_y
_atom_site_fract_z
_atom_site_occupancy
Pr1 Pr 0.000 0.000 0.000 1
Si1 Si 0.391 0.391 0.000 1
Si2 Si 0.609 0.609 0.000 1
Ag1 Ag 0.250 0.750 0.500 1
Ag2 Ag 0.750 0.250 0.500 1
```

Values from the calculation:
Space-group type   I4/mmm (139)
E_form (uncorrected)   -0.433 eV/atom
Total moment   0.000 μB per atom

***

(7)
# Pr12SiAg6

A relaxed structure of Pr12SiAg6 (PBE-GGA, Alexandria).

Cell and atoms, written as CIF:
```
data_Pr12SiAg6
_chemical_formula_sum 'Pr12 Si1 Ag6'
_cell_length_a 8.335
_cell_length_b 8.335
_cell_length_c 8.335
_cell_angle_alpha 92.15
_cell_angle_beta 92.15
_cell_angle_gamma 92.15
_symmetry_space_group_name_H-M 'P 1'
_symmetry_Int_Tables_number 1
_symmetry_space_group_name_Hall 'P 1'
loop_
_atom_site_label
_atom_site_type_symbol
_atom_site_fract_x
_atom_site_fract_y
_atom_site_fract_z
_atom_site_occupancy
Pr1 Pr 0.043 0.696 0.953 1
Pr2 Pr 0.047 0.957 0.304 1
Pr3 Pr 0.167 0.519 0.383 1
Pr4 Pr 0.304 0.047 0.957 1
Pr5 Pr 0.383 0.167 0.519 1
Pr6 Pr 0.481 0.617 0.833 1
Pr7 Pr 0.519 0.383 0.167 1
Pr8 Pr 0.617 0.833 0.481 1
Pr9 Pr 0.696 0.953 0.043 1
Pr10 Pr 0.833 0.481 0.617 1
Pr11 Pr 0.953 0.043 0.696 1
Pr12 Pr 0.957 0.304 0.047 1
Si1 Si 0.500 0.500 0.500 1
Ag1 Ag 0.187 0.372 0.765 1
Ag2 Ag 0.235 0.813 0.628 1
Ag3 Ag 0.372 0.765 0.187 1
Ag4 Ag 0.628 0.235 0.813 1
Ag5 Ag 0.765 0.187 0.372 1
Ag6 Ag 0.813 0.628 0.235 1
```

Values from the calculation:
Space-group type   R-3 (148)
E_form (uncorrected)   -0.089 eV/atom
Total moment   0.000 μB per atom

***

(8)
# TbPrSiAg

A relaxed structure of TbPrSiAg (PBE-GGA, Alexandria).

Cell and atoms, written as CIF:
```
data_TbPrSiAg
_chemical_formula_sum 'Tb1 Pr1 Si1 Ag1'
_cell_length_a 5.169
_cell_length_b 5.169
_cell_length_c 5.169
_cell_angle_alpha 60.00
_cell_angle_beta 60.00
_cell_angle_gamma 60.00
_symmetry_space_group_name_H-M 'P 1'
_symmetry_Int_Tables_number 1
_symmetry_space_group_name_Hall 'P 1'
loop_
_atom_site_label
_atom_site_type_symbol
_atom_site_fract_x
_atom_site_fract_y
_atom_site_fract_z
_atom_site_occupancy
Tb1 Tb 0.000 0.000 0.000 1
Pr1 Pr 0.500 0.500 0.500 1
Si1 Si 0.750 0.750 0.750 1
Ag1 Ag 0.250 0.250 0.250 1
```

Values from the calculation:
Space-group type   F-43m (216)
E_form (uncorrected)   -0.416 eV/atom
Total moment   0.000 μB per atom

***

(9)
# PrThSiAg

A relaxed structure of PrThSiAg (PBE-GGA, Alexandria).

Cell and atoms, written as CIF:
```
data_PrThSiAg
_chemical_formula_sum 'Pr1 Th1 Si1 Ag1'
_cell_length_a 5.230
_cell_length_b 5.230
_cell_length_c 5.230
_cell_angle_alpha 60.00
_cell_angle_beta 60.00
_cell_angle_gamma 60.00
_symmetry_space_group_name_H-M 'P 1'
_symmetry_Int_Tables_number 1
_symmetry_space_group_name_Hall 'P 1'
loop_
_atom_site_label
_atom_site_type_symbol
_atom_site_fract_x
_atom_site_fract_y
_atom_site_fract_z
_atom_site_occupancy
Pr1 Pr 0.000 0.000 0.000 1
Th1 Th 0.500 0.500 0.500 1
Si1 Si 0.750 0.750 0.750 1
Ag1 Ag 0.250 0.250 0.250 1
```

Values from the calculation:
Space-group type   F-43m (216)
E_form (uncorrected)   -0.291 eV/atom
Total moment   0.000 μB per atom

***

(10)
# PrTmSiAg

A relaxed structure of PrTmSiAg (PBE-GGA, Alexandria).

Cell and atoms, written as CIF:
```
data_PrTmSiAg
_chemical_formula_sum 'Pr1 Tm1 Si1 Ag1'
_cell_length_a 5.126
_cell_length_b 5.126
_cell_length_c 5.126
_cell_angle_alpha 60.00
_cell_angle_beta 60.00
_cell_angle_gamma 60.00
_symmetry_space_group_name_H-M 'P 1'
_symmetry_Int_Tables_number 1
_symmetry_space_group_name_Hall 'P 1'
loop_
_atom_site_label
_atom_site_type_symbol
_atom_site_fract_x
_atom_site_fract_y
_atom_site_fract_z
_atom_site_occupancy
Pr1 Pr 0.000 0.000 0.000 1
Tm1 Tm 0.500 0.500 0.500 1
Si1 Si 0.750 0.750 0.750 1
Ag1 Ag 0.250 0.250 0.250 1
```

Values from the calculation:
Space-group type   F-43m (216)
E_form (uncorrected)   -0.401 eV/atom
Total moment   0.000 μB per atom

***

> What is the formula in the fifth record?

PrSi2Ag4

***

> Look up the total moment of the second one.

0.000 μB per atom

***

> Which value of total moment does entry 4 give?

0.000 μB per atom

***

> total moment of number 3 (Pr3Si3Ag2)?

0.111 μB per atom